Density functional theory data (PBE) for a geometry-optimized K3CdHg3 structure.

```
data_K3CdHg3
_cell_length_a 9.562
_cell_length_b 9.562
_cell_length_c 9.562
_cell_angle_alpha 90.00
_cell_angle_beta 90.00
_cell_angle_gamma 90.00
_space_group_name_H-M_alt 'P m -3 n'
_space_group_IT_number 223
_space_group_name_Hall '-P 4n 2 3'
loop_
_atom_site_label
_atom_site_type_symbol
_atom_site_fract_x
_atom_site_fract_y
_atom_site_fract_z
_atom_site_occupancy
K1 K 0.000 0.250 0.500 1
Cd1 Cd 0.000 0.000 0.000 1
Hg1 Hg 0.000 0.500 0.250 1
```

Calculated values
Its size of the total moment is 0.00 μB/f.u. The relative energy among the computed polymorphs comes out at 364 meV per atom. As for the energy relative to the elements: 0.139 eV per atom.